Computed, not measured: a relaxed PrGaO3 crystal at the PBE level of DFT. Values from VASP.

```
&SYSTEM
  ibrav = 0, nat = 5, ntyp = 3
/
ATOMIC_SPECIES
Pr 140.91 Pr.upf
Ga 69.72 Ga.upf
O 16.00 O.upf
ATOMIC_POSITIONS angstrom
Pr 0.0000 0.0000 0.0000
Ga 1.9474 1.9474 1.9474
O 0.0000 1.9474 1.9474
O 1.9474 0.0000 1.9474
O 1.9474 1.9474 0.0000
CELL_PARAMETERS angstrom
3.8947 0.0000 0.0000
0.0000 3.8947 0.0000
0.0000 0.0000 3.8947
```

Values from the calculation:
E_form (uncorrected): -2.5263 eV/atom
calculated total energy: -7.062 eV per atom
volume: 11.8 A^3/atom

Computed, not measured: a relaxed Rb2ZrRu crystal at the PBE level of DFT. Values from VASP.

```
&SYSTEM
  ibrav = 0, nat = 8, ntyp = 3
/
ATOMIC_SPECIES
Rb 85.47 Rb.upf
Zr 91.22 Zr.upf
Ru 101.07 Ru.upf
ATOMIC_POSITIONS angstrom
Rb -1.1392 3.3563 0.5777
Rb 3.3563 5.5733 1.7331
Rb 1.1392 10.0689 0.5777
Rb -3.3563 7.8518 1.7331
Zr 6.7126 0.0000 1.1554
Zr 0.0000 0.0000 2.3108
Ru 0.0000 0.0000 0.0000
Ru 0.0000 6.7126 1.1554
CELL_PARAMETERS angstrom
-6.7126 6.7126 2.3108
6.7126 -6.7126 2.3108
6.7126 6.7126 -2.3108
```

Values from the calculation:
energy relative to the elements: 0.962 eV/atom
calculated total energy: -3.977 eV per atom
E above lowest polymorph: 0.000 eV/atom
volume: 52.1 A^3/atom

Computed, not measured: a relaxed CoTe4Au crystal at the PBE level of DFT. Values from VASP.

```
&SYSTEM
  ibrav = 0, nat = 12, ntyp = 3
/
ATOMIC_SPECIES
Co 58.93 Co.upf
Te 127.60 Te.upf
Au 196.97 Au.upf
ATOMIC_POSITIONS angstrom
Co 0.0000 0.0000 0.0000
Co -0.1310 3.2749 3.2802
Te 0.5261 0.9569 4.2468
Te 0.6571 2.3180 0.9665
Te 2.2102 4.0037 4.0356
Te 2.3412 5.8210 0.7554
Te 4.1996 0.7288 5.8051
Te 4.3307 2.5461 2.5249
Te 5.8837 4.2318 5.5940
Te 6.0147 5.5929 2.3137
Au 3.2704 0.0000 3.2802
Au 3.4014 3.2749 0.0000
CELL_PARAMETERS angstrom
6.8028 0.0000 0.0000
0.0000 6.5498 0.0000
-0.2620 0.0000 6.5605
```

Values from the calculation:
E_form (uncorrected): -0.0920 eV/atom
calculated total energy: -3.917 eV per atom
E above lowest polymorph: 0.035 eV/atom
volume: 24.4 A^3/atom

Computed, not measured: a relaxed La6Ge2HI3 crystal at the PBE level of DFT. Values from VASP.

```
&SYSTEM
  ibrav = 0, nat = 12, ntyp = 4
/
ATOMIC_SPECIES
La 138.91 La.upf
Ge 72.64 Ge.upf
H 1.01 H.upf
I 126.90 I.upf
ATOMIC_POSITIONS angstrom
La 1.1884 2.0767 1.5446
La -0.0562 0.0000 6.1250
La 1.1884 -2.0767 1.5446
La 3.7507 2.0767 6.2231
La 4.9953 0.0000 1.6426
La 3.7507 -2.0767 6.2231
Ge 3.7434 2.1366 0.0000
Ge 3.7434 -2.1366 0.0000
H 0.0000 0.0000 0.0000
I 2.4695 4.1747 3.8838
I 2.4695 0.0000 3.8838
I 2.4695 -4.1747 3.8838
CELL_PARAMETERS angstrom
3.7434 -6.4599 0.0000
3.7434 6.4599 0.0000
-2.5476 0.0000 7.7677
```

Values from the calculation:
calculated total energy: -4.802 eV per atom
volume: 31.3 A^3/atom

Computed, not measured: a relaxed KIn6Hg crystal at the PBE level of DFT. Values from VASP.

```
&SYSTEM
  ibrav = 0, nat = 8, ntyp = 3
/
ATOMIC_SPECIES
K 39.10 K.upf
In 114.82 In.upf
Hg 200.59 Hg.upf
ATOMIC_POSITIONS angstrom
K 0.0000 0.0000 0.0000
In 0.0000 0.0000 3.9383
In 0.0000 0.0000 7.4759
In 0.0000 0.0000 11.8529
In 0.0000 0.0000 17.8155
In 0.0000 0.0000 22.1925
In 0.0000 0.0000 25.7301
Hg 0.0000 0.0000 14.8342
CELL_PARAMETERS angstrom
2.6301 1.5185 9.8895
-2.6301 1.5185 9.8895
0.0000 -3.0370 9.8895
```

Values from the calculation:
energy relative to the elements: -0.032 eV/atom
calculated total energy: -2.261 eV per atom
E above lowest polymorph: 0.045 eV/atom
volume: 29.6 A^3/atom

Computed, not measured: a relaxed PmTm2ScBi4 crystal at the PBE level of DFT. Values from VASP.

```
&SYSTEM
  ibrav = 0, nat = 8, ntyp = 4
/
ATOMIC_SPECIES
Pm 145.00 Pm.upf
Tm 168.93 Tm.upf
Sc 44.96 Sc.upf
Bi 208.98 Bi.upf
ATOMIC_POSITIONS angstrom
Pm 0.0000 0.0000 0.0000
Tm -1.2816 2.2191 3.6221
Tm 2.5565 0.0000 3.6221
Sc 3.8381 2.2191 0.0000
Bi 1.3505 2.2191 1.8343
Bi 0.0690 0.0000 5.4601
Bi 5.0440 0.0000 1.7841
Bi 3.7625 2.2191 5.4100
CELL_PARAMETERS angstrom
7.6762 0.0000 0.0000
0.0000 4.4381 0.0000
-2.5631 0.0000 7.2442
```

Values from the calculation:
energy relative to the elements: -0.773 eV/atom
calculated total energy: -5.216 eV per atom
volume: 30.8 A^3/atom

Calculated DOS at the Fermi energy (states/eV per cell), listed in the same order as above: 0.000 7.686 5.823 8.765 4.040 1.372